<one>
LiSbWO6: relaxed, GGA+U.

```
data_LiSbWO6
_cell_length_a 7.202
_cell_length_b 7.421
_cell_length_c 10.346
_cell_angle_alpha 90.00
_cell_angle_beta 90.00
_cell_angle_gamma 90.00
_symmetry_space_group_name_H-M 'I m m a'
_symmetry_Int_Tables_number 74
_symmetry_space_group_name_Hall '-I 2b 2'
loop_
_atom_site_label
_atom_site_fract_x
_atom_site_fract_y
_atom_site_fract_z
Li1 0.000 0.000 0.000
Sb1 0.250 0.250 0.250
W1 0.000 0.000 0.500
O1 0.000 0.250 0.166
O2 0.000 0.250 0.555
O3 0.195 0.056 0.378
```

**Crystal system**: orthorhombic
**M_tot**: 0.0 μB per cell
**D(E_F)**: 0.00 states/eV per atom


<two>
LiSbWO6: relaxed, GGA+U.

```
data_LiSbWO6
_cell_length_a 4.782
_cell_length_b 4.782
_cell_length_c 9.141
_cell_angle_alpha 90.00
_cell_angle_beta 90.00
_cell_angle_gamma 90.00
_symmetry_space_group_name_H-M 'P 42 n m'
_symmetry_Int_Tables_number 102
_symmetry_space_group_name_Hall 'P 4n -2n'
loop_
_atom_site_label
_atom_site_fract_x
_atom_site_fract_y
_atom_site_fract_z
Li1 0.000 0.000 0.000
Sb1 0.000 0.000 0.328
W1 0.000 0.000 0.670
O1 0.184 0.184 0.502
O2 0.204 0.204 0.815
O3 0.208 0.208 0.175
```

**Crystal system**: tetragonal
**M_tot**: 0.0 μB per cell
**D(E_F)**: 0.00 states/eV per atom


Which is most stable? The ranking, best first, is <two>, <one>.